An optimized crystal structure of ZnCdSn2. Source: Alexandria, functional PBE.

a b c (Å): 4.499 4.499 6.362
angles (deg): 69.29 69.29 60.00
Fractional positions:
Cd1 0.499 0.499 0.503
Sn1 0.071 0.071 0.788
Zn1 0.668 0.668 0.996
Sn2 0.262 0.262 0.213

Summary:
density	6.8	g/cm³
crystal system	trigonal
ΔH_f (0 K)	0.377	eV per formula unit
raw total energy	-2.4545	eV/atom

An optimized crystal structure of ZnCdSn. Source: Alexandria, functional PBE.

a b c (Å): 3.494 3.494 6.452
angles (deg): 90.00 90.00 120.00
Fractional positions:
Zn1 0.667 0.333 0.336
Cd1 0.333 0.667 0.645
Sn1 0.000 0.000 0.019

Summary:
density	7.2	g/cm³
crystal system	trigonal
ΔH_f (0 K)	0.273	eV per formula unit
raw total energy	-1.9730	eV/atom

An optimized crystal structure of Zn2CdSn. Source: Alexandria, functional PBE.

a b c (Å): 3.994 3.994 6.969
angles (deg): 73.35 73.35 60.00
Fractional positions:
Zn1 0.081 0.081 0.756
Sn1 0.499 0.499 0.502
Zn2 0.251 0.251 0.246
Cd1 0.668 0.668 0.996

Summary:
density	6.6	g/cm³
crystal system	trigonal
ΔH_f (0 K)	0.733	eV per formula unit
raw total energy	-1.6833	eV/atom